# 1
This record from Alexandria describes crystalline RbNa2InSb2 at its relaxed geometry. The functional is PBE.

abc: 4.9948 9.0153 8.7396
angles: 90.00 90.00 90.00
Closest atoms and distances in Å follow each position.
Sites, in units of the cell vectors:
Rb (0.0000, 0.0835, 0.0000)  5 Sb 3.52-3.62, 2 In 3.64, 2 Na 3.80-3.88
Rb (0.0000, 0.9165, 0.5000)  5 Sb 3.52-3.62, 2 In 3.64, 2 Na 3.80-3.88
Na (0.0000, 0.3245, 0.3570)  4 Sb 3.10-3.14
Na (0.0000, 0.6755, 0.8570)  4 Sb 3.10-3.14
Na (0.5000, 0.4303, 0.0405)  5 Sb 3.49-3.86, 1 In 3.68, 4 Na 3.70-3.85
Na (0.5000, 0.5697, 0.5405)  5 Sb 3.49-3.86, 1 In 3.68, 4 Na 3.70-3.85
In (0.5000, 0.1743, 0.6442)  4 Sb 3.05-3.06
In (0.5000, 0.8257, 0.1442)  4 Sb 3.05-3.06
Sb (0.0000, 0.3568, 0.7122)  2 In 3.05, 2 Na 3.12-3.14
Sb (0.0000, 0.6432, 0.2122)  2 In 3.05, 2 Na 3.12-3.14
Sb (0.5000, 0.1299, 0.2967)  2 In 3.05-3.06, 2 Na 3.10
Sb (0.5000, 0.8701, 0.7967)  2 In 3.05-3.06, 2 Na 3.10

## Properties
The value obtained for the uncorrected formation energy is -2.08 eV/f.u.

# 2
This record from Alexandria describes crystalline Zn2IrRu at its relaxed geometry. The functional is PBE.

abc: 4.6417 4.6417 4.6417
angles: 130.44 130.44 72.70
Closest atoms and distances in Å follow each position.
Sites, in units of the cell vectors:
Zn (0.0000, 0.0000, 0.0000)  4 Ir 2.70, 4 Zn 2.70, 4 Ru 2.75
Zn (0.7500, 0.2500, 0.5000)  4 Ru 2.70, 4 Zn 2.70, 4 Ir 2.75
Ir (0.2500, 0.7500, 0.5000)  4 Ru 2.70, 8 Zn 2.70-2.75
Ru (0.5000, 0.5000, 0.0000)  4 Ir 2.70, 8 Zn 2.70-2.75

## Properties
The excess energy over the best structure of this formula in the dataset comes out at 97 meV per atom.

# 3
This record from Alexandria describes crystalline Ti5AgRu4 at its relaxed geometry. The functional is PBE.

abc: 3.0640 3.0640 16.2377
angles: 90.00 90.00 90.00
Closest atoms and distances in Å follow each position.
Sites, in units of the cell vectors:
Ti (0.0000, 0.0000, 0.0000)  8 Ru 2.66
Ti (0.0000, 0.0000, 0.1907)  8 Ru 2.66-2.67
Ti (0.0000, 0.0000, 0.3808)  4 Ru 2.65, 4 Ag 2.91
Ti (0.0000, 0.0000, 0.6192)  4 Ru 2.65, 4 Ag 2.91
Ti (0.0000, 0.0000, 0.8093)  8 Ru 2.66-2.67
Ag (0.5000, 0.5000, 0.5000)  8 Ti 2.91, 4 Ag 3.06
Ru (0.5000, 0.5000, 0.0953)  8 Ti 2.66
Ru (0.5000, 0.5000, 0.2872)  8 Ti 2.65-2.67
Ru (0.5000, 0.5000, 0.7128)  8 Ti 2.65-2.67
Ru (0.5000, 0.5000, 0.9047)  8 Ti 2.66

| no. | magnetization (μB/f.u.) | calculated total energy (eV per atom) |
| --- | --- | --- |
| 1 | 0.000 | -2.78 |
| 2 | 0.001 | -5.14 |
| 3 | 0.000 | -8.52 |